1.
Below is a relaxed SiW crystal, with properties calculated at the PBE level.

Output
Formation energy from raw total energies   0.5 eV per formula unit
DFT total energy   -8.91 eV per atom
Calculated density   11.7 g cm⁻³

Unit cell a=4.3986 b=4.3986 c=4.3986 alpha=60.00 beta=60.00 gamma=60.00
With the nearest neighbours (Å) after each atom.
Element x y z (fractional)
1 Si 0.1250 0.1250 0.1250  4 W 2.69, 4 Si 2.69
2 Si 0.8750 0.8750 0.8750  4 W 2.69, 4 Si 2.69
3 W 0.3750 0.3750 0.3750  4 W 2.69, 4 Si 2.69
4 W 0.6250 0.6250 0.6250  4 Si 2.69, 4 W 2.69


2.
Below is a relaxed Si2W crystal, with properties calculated at the PBE level.

Output
Formation energy from raw total energies   0.9 eV per formula unit
ΔE to the lowest computed polymorph   1.970 eV/f.u.
DFT total energy   -7.63 eV per atom
Calculated density   8.5 g cm⁻³

Unit cell a=9.8660 b=9.8660 c=9.8660 alpha=161.83 beta=161.83 gamma=25.80
With the nearest neighbours (Å) after each atom.
Element x y z (fractional)
1 Si 0.3035 0.5535 0.7500  3 Si 2.58-2.75, 4 W 2.60
2 Si 0.4465 0.6965 0.7500  3 Si 2.58-2.75, 4 W 2.60
3 Si 0.5535 0.3035 0.2500  3 Si 2.58-2.75, 4 W 2.60
4 Si 0.6965 0.4465 0.2500  3 Si 2.58-2.75, 4 W 2.60
5 W 0.1250 0.8750 0.2500  8 Si 2.60
6 W 0.8750 0.1250 0.7500  8 Si 2.60


3.
Below is a relaxed SiW crystal, with properties calculated at the PBE level.

Output
Formation energy from raw total energies   -0.2 eV per formula unit
DFT total energy   -9.29 eV per atom
Calculated density   11.7 g cm⁻³

Unit cell a=3.1512 b=3.1512 c=3.5039 alpha=90.00 beta=90.00 gamma=120.00
With the nearest neighbours (Å) after each atom.
Element x y z (fractional)
1 Si 0.0000 0.0000 0.0000  6 W 2.53
2 W 0.6667 0.3333 0.5000  6 Si 2.53


4.
Below is a relaxed Si5W3 crystal, with properties calculated at the PBE level.

Output
Formation energy from raw total energies   1.8 eV per formula unit
ΔE to the lowest computed polymorph   1.148 eV/f.u.
DFT total energy   -8.03 eV per atom
Calculated density   9.7 g cm⁻³

Unit cell a=7.5647 b=7.5647 c=4.8006 alpha=90.00 beta=90.00 gamma=120.00
With the nearest neighbours (Å) after each atom.
Element x y z (fractional)
1 Si 0.0000 0.2334 0.2500  4 W 2.52-2.65
2 Si 0.0000 0.7666 0.7500  4 W 2.52-2.65
3 Si 0.2334 0.0000 0.2500  4 W 2.52-2.65
4 Si 0.2334 0.2334 0.7500  4 W 2.52-2.65
5 Si 0.3333 0.6667 0.0000  2 Si 2.40, 6 W 2.65
6 Si 0.3333 0.6667 0.5000  2 Si 2.40, 6 W 2.65
7 Si 0.6667 0.3333 0.0000  2 Si 2.40, 6 W 2.65
8 Si 0.6667 0.3333 0.5000  2 Si 2.40, 6 W 2.65
9 Si 0.7666 0.0000 0.7500  4 W 2.52-2.65
10 Si 0.7666 0.7666 0.2500  4 W 2.52-2.65
11 W 0.0000 0.3817 0.7500  8 Si 2.52-2.65
12 W 0.0000 0.6183 0.2500  8 Si 2.52-2.65
13 W 0.3817 0.0000 0.7500  8 Si 2.52-2.65
14 W 0.3817 0.3817 0.2500  8 Si 2.52-2.65
15 W 0.6183 0.0000 0.2500  8 Si 2.52-2.65
16 W 0.6183 0.6183 0.7500  8 Si 2.52-2.65


5.
Below is a relaxed Si3W4 crystal, with properties calculated at the PBE level.

Output
Formation energy from raw total energies   1.0 eV per formula unit
ΔE to the lowest computed polymorph   1.707 eV/f.u.
DFT total energy   -9.58 eV per atom
Calculated density   13.7 g cm⁻³

Unit cell a=4.8232 b=4.8232 c=4.9434 alpha=90.00 beta=90.00 gamma=120.00
With the nearest neighbours (Å) after each atom.
Element x y z (fractional)
1 Si 0.0000 0.5000 0.0000  4 Si 2.41
2 Si 0.5000 0.0000 0.0000  4 Si 2.41
3 Si 0.5000 0.5000 0.0000  4 Si 2.41
4 W 0.0000 0.0000 0.2477  2 W 2.45-2.49, 6 Si 2.70
5 W 0.0000 0.0000 0.7523  2 W 2.45-2.49, 6 Si 2.70
6 W 0.3333 0.6667 0.5000  9 W 2.78-3.05, 6 Si 2.84
7 W 0.6667 0.3333 0.5000  9 W 2.78-3.05, 6 Si 2.84


6.
Below is a relaxed Si2W crystal, with properties calculated at the PBE level.

Output
Formation energy from raw total energies   0.7 eV per formula unit
ΔE to the lowest computed polymorph   1.764 eV/f.u.
DFT total energy   -7.69 eV per atom
Calculated density   8.9 g cm⁻³

Unit cell a=4.5193 b=4.5193 c=4.5193 alpha=145.33 beta=119.76 gamma=71.41
With the nearest neighbours (Å) after each atom.
Element x y z (fractional)
1 Si 0.1883 0.1883 0.0000  4 W 2.65-2.66, 7 Si 2.69-2.79
2 Si 0.8117 0.8117 0.0000  4 W 2.65-2.66, 7 Si 2.69-2.79
3 W 0.5000 0.0000 0.5000  8 Si 2.65-2.66, 2 W 2.69